(1)
DFT (GGA-PBEsol) results for a geometry-optimized HfTiCu2 structure.

Summary:
Crystal system: cubic
Theoretical density in g cm⁻³: 9.659
Calculated total energy in eV for the cell shown: -111.1

a = 6.241 Å, b = 6.241 Å, c = 6.241 Å
α = 90.00°, β = 90.00°, γ = 90.00°
Space group Fm-3m (No. 225)
Unique sites:
1 Hf 0.000 0.000 0.000 (multiplicity 4)
2 Ti 0.000 0.000 0.500 (multiplicity 4)
3 Cu 0.250 0.250 0.250 (multiplicity 8)


(2)
DFT (GGA-PBEsol) results for a geometry-optimized HfTiZnCu2 structure.

Summary:
Crystal system: tetragonal
Theoretical density in g cm⁻³: 7.193
Calculated total energy in eV for the cell shown: -23.2

a = 4.546 Å, b = 4.546 Å, c = 4.679 Å
α = 90.00°, β = 90.00°, γ = 90.00°
Space group P4/mmm (No. 123)
Unique sites:
1 Hf 0.000 0.000 0.000 (multiplicity 1)
2 Ti 0.000 0.000 0.500 (multiplicity 1)
3 Zn 0.500 0.500 0.000 (multiplicity 1)
4 Cu 0.000 0.500 0.500 (multiplicity 2)


(3)
DFT (GGA-PBEsol) results for a geometry-optimized YHfCu2 structure.

Summary:
Crystal system: cubic
Theoretical density in g cm⁻³: 9.125
Calculated total energy in eV for the cell shown: -105.2

a = 6.597 Å, b = 6.597 Å, c = 6.597 Å
α = 90.00°, β = 90.00°, γ = 90.00°
Space group Fm-3m (No. 225)
Unique sites:
1 Y 0.000 0.000 0.000 (multiplicity 4)
2 Hf 0.000 0.000 0.500 (multiplicity 4)
3 Cu 0.250 0.250 0.250 (multiplicity 8)


(4)
DFT (GGA-PBEsol) results for a geometry-optimized Hf2ZnCu2 structure.

Summary:
Crystal system: tetragonal
Theoretical density in g cm⁻³: 11.396
Calculated total energy in eV for the cell shown: -64.2

a = 6.763 Å, b = 6.763 Å, c = 3.501 Å
α = 90.00°, β = 90.00°, γ = 90.00°
Space group P4/mbm (No. 127)
Unique sites:
1 Hf 0.170 0.330 0.000 (multiplicity 4)
2 Zn 0.000 0.000 0.500 (multiplicity 2)
3 Cu 0.128 0.628 0.500 (multiplicity 4)


(5)
DFT (GGA-PBEsol) results for a geometry-optimized HfZrCu structure.

Summary:
Crystal system: tetragonal
Theoretical density in g cm⁻³: 10.061
Calculated total energy in eV for the cell shown: -48.7

a = 3.162 Å, b = 3.162 Å, c = 11.005 Å
α = 90.00°, β = 90.00°, γ = 90.00°
Space group I4mm (No. 107)
Unique sites:
1 Hf 0.000 0.000 0.000 (multiplicity 2)
2 Zr 0.000 0.000 0.310 (multiplicity 2)
3 Cu 0.000 0.000 0.647 (multiplicity 2)


(6)
DFT (GGA-PBEsol) results for a geometry-optimized HfZr2Cu2 structure.

Summary:
Crystal system: tetragonal
Theoretical density in g cm⁻³: 9.136
Calculated total energy in eV for the cell shown: -75.4

a = 7.485 Å, b = 7.485 Å, c = 3.166 Å
α = 90.00°, β = 90.00°, γ = 90.00°
Space group P4/mbm (No. 127)
Unique sites:
1 Hf 0.000 0.000 0.000 (multiplicity 2)
2 Zr 0.175 0.325 0.500 (multiplicity 4)
3 Cu 0.120 0.620 0.000 (multiplicity 4)


Let's list E_form in order: -7; 114; -7; -17; -14; -7 kJ/mol of atoms.